First-principles (GGA-PBE) data for a relaxed KReHg crystal, as listed in Alexandria via LeMat-Bulk.

Unit cell a=8.4675 b=8.4675 c=8.4675 alpha=160.98 beta=160.98 gamma=27.03
Last column: nearest neighbours and their distance in Å.
Fractional positions:
Hg (0.0124, 0.0124, 0.0000)  4 Hg 2.80, 4 Re 3.10
K (0.3301, 0.3301, 0.0000)  4 K 2.80
Re (0.6576, 0.6576, 0.0000)  4 Re 2.80, 4 Hg 3.10

Output
As for the total energy: -10.7 eV for the cell shown. The volume is 21.5 Å³ per atom. The calculation puts the density of states at the Fermi level at 0.521 states/eV/atom. As for the energy of formation: 1.035 eV per atom. The value obtained for the density is 10.97 Mg/m³. The calculation puts the energy relative to the lowest polymorph listed for this composition at 4 meV per atom. Its symmetry is I4mm.